1.
Ba6Br3NO2 | PBE-GGA | optimized geometry

The structure belongs to space group C2/m (No. 12); the cell edges are 7.147, 12.378 and 8.186 Å and the angles 90.00°, 106.93° and 90.00°. Symmetry generates all atoms from Ba at (0.229, 0.166, 0.190), Ba at (0.231, 0.500, 0.190), Br at (0.000, 0.165, 0.500), Br at (0.000, 0.500, 0.500), N at (0.000, 0.000, 0.000) and O at (0.000, 0.333, 0.000).

As for the uncorrected formation energy: -1.734 eV per atom. The total magnetization is 0.00 Bohr magnetons per cell.

***

2.
Ac2Ag | PBE-GGA | optimized geometry

The structure belongs to space group P4/mmm (No. 123); the cell edges are 3.970, 3.970 and 13.699 Å and the angles 90.00°, 90.00° and 90.00°. Symmetry generates all atoms from Ac at (0.000, 0.000, 0.000), Ac at (0.000, 0.000, 0.287), Ac at (0.500, 0.500, 0.500) and Ag at (0.500, 0.500, 0.145).

The calculation puts the polymorph energy (0 for the lowest one) at 0.000 eV/atom. The total magnetization is 0.00 Bohr magnetons per cell. For the energy of formation, the calculation gives -163 meV/atom.

***

3.
La4Pm7Y | PBE-GGA | optimized geometry

The structure belongs to space group P-1 (No. 2); the cell edges are 6.412, 7.395 and 9.193 Å and the angles 90.04°, 103.52° and 90.02°. Symmetry generates all atoms from La at (0.222, 0.252, 0.169), La at (0.276, 0.000, 0.831), Pm at (0.001, 0.748, 0.499), Pm at (0.225, 0.747, 0.172), Pm at (0.278, 0.500, 0.830), Pm at (0.500, 0.000, 0.500) and Y at (0.500, 0.500, 0.500).

The total magnetization is 0.00 Bohr magnetons per cell. For the energy of formation, the calculation gives 20 meV/atom.

***

4.
KTaCdO4 | PBE-GGA | optimized geometry

The structure belongs to space group P2_1/m (No. 11); the cell edges are 6.148, 6.297 and 7.178 Å and the angles 90.00°, 105.24° and 90.00°. Symmetry generates all atoms from K at (0.239, 0.250, 0.453), Ta at (0.197, 0.750, 0.135), Cd at (0.340, 0.250, 0.969), O at (0.021, 0.250, 0.723), O at (0.044, 0.750, 0.882) and O at (0.406, 0.520, 0.184).

As for the uncorrected formation energy: -2.031 eV per atom. The total magnetization is 0.00 Bohr magnetons per cell.